Entry 1:
Entry from Alexandria: a geometry-optimized PuHfZnFe structure (GGA-PBE).

Summary:
- Energy of formation from the pure elements: 0.04 eV per atom
- Crystal system: cubic

a b c (Å): 4.718 4.718 4.718
angles (deg): 60.00 60.00 60.00
Fractional coordinates of all 4 atoms:
Pu1 0.000 0.000 0.000
Hf1 0.500 0.500 0.500
Zn1 0.750 0.750 0.750
Fe1 0.250 0.250 0.250

=====

Entry 2:
Entry from Alexandria: a geometry-optimized Rb2HfFe2 structure (GGA-PBE).

Summary:
- Energy of formation from the pure elements: 1.51 eV per atom
- Crystal system: tetragonal
- Relative energy among the computed polymorphs: 383 meV/atom

a b c (Å): 8.035 8.035 8.035
angles (deg): 150.78 150.78 41.79
Fractional coordinates of all 5 atoms:
Rb1 0.250 0.750 0.500
Rb2 0.750 0.250 0.500
Hf1 0.000 0.000 0.000
Fe1 0.435 0.435 0.000
Fe2 0.565 0.565 0.000

=====

Entry 3:
Entry from Alexandria: a geometry-optimized Rb2HfFe structure (GGA-PBE).

Summary:
- Energy of formation from the pure elements: 2.26 eV per atom
- Crystal system: cubic
- Relative energy among the computed polymorphs: 1029 meV/atom

a b c (Å): 5.682 5.682 5.682
angles (deg): 60.00 60.00 60.00
Fractional coordinates of all 4 atoms:
Rb1 0.250 0.250 0.250
Rb2 0.750 0.750 0.750
Hf1 0.000 0.000 0.000
Fe1 0.500 0.500 0.500

=====

Entry 4:
Entry from Alexandria: a geometry-optimized RbHfFe2 structure (GGA-PBE).

Summary:
- Energy of formation from the pure elements: 1.52 eV per atom
- Crystal system: cubic
- Relative energy among the computed polymorphs: 186 meV/atom

a b c (Å): 4.673 4.673 4.673
angles (deg): 60.00 60.00 60.00
Fractional coordinates of all 4 atoms:
Rb1 0.000 0.000 0.000
Hf1 0.500 0.500 0.500
Fe1 0.250 0.250 0.250
Fe2 0.750 0.750 0.750

=====

Entry 5:
Entry from Alexandria: a geometry-optimized Rb3HfFe structure (GGA-PBE).

Summary:
- Energy of formation from the pure elements: 1.99 eV per atom
- Crystal system: cubic

a b c (Å): 6.037 6.037 6.037
angles (deg): 90.00 90.00 90.00
Fractional coordinates of all 5 atoms:
Rb1 0.000 0.000 0.500
Rb2 0.000 0.500 0.000
Rb3 0.500 0.000 0.000
Hf1 0.500 0.500 0.500
Fe1 0.000 0.000 0.000

=====

Entry 6:
Entry from Alexandria: a geometry-optimized Rb2HfFe structure (GGA-PBE).

Summary:
- Energy of formation from the pure elements: 1.23 eV per atom
- Crystal system: tetragonal
- Relative energy among the computed polymorphs: 0 meV/atom

a b c (Å): 9.761 9.761 9.761
angles (deg): 92.85 92.85 154.25
Fractional coordinates of all 8 atoms:
Rb1 0.375 0.202 0.327
Rb2 0.798 0.125 0.173
Rb3 0.875 0.048 0.673
Rb4 0.952 0.625 0.827
Hf1 0.250 0.750 0.500
Hf2 0.500 0.500 0.000
Fe1 0.000 0.000 0.000
Fe2 0.750 0.250 0.500

=====

Entry 7:
Entry from Alexandria: a geometry-optimized RbHfFe2 structure (GGA-PBE).

Summary:
- Energy of formation from the pure elements: 1.33 eV per atom
- Crystal system: tetragonal
- Relative energy among the computed polymorphs: 0 meV/atom

a b c (Å): 9.291 9.291 9.291
angles (deg): 150.07 150.07 42.84
Fractional coordinates of all 8 atoms:
Rb1 0.375 0.625 0.750
Rb2 0.625 0.375 0.250
Hf1 0.125 0.875 0.250
Hf2 0.875 0.125 0.750
Fe1 0.000 0.000 0.000
Fe2 0.000 0.000 0.500
Fe3 0.000 0.500 0.000
Fe4 0.500 0.000 0.500

=====

Entry 8:
Entry from Alexandria: a geometry-optimized Rb2HfFe2 structure (GGA-PBE).

Summary:
- Energy of formation from the pure elements: 1.13 eV per atom
- Crystal system: tetragonal
- Relative energy among the computed polymorphs: 0 meV/atom

a b c (Å): 6.597 6.597 6.382
angles (deg): 90.00 90.00 90.00
Fractional coordinates of all 10 atoms:
Rb1 0.181 0.319 0.000
Rb2 0.319 0.819 0.000
Rb3 0.681 0.181 0.000
Rb4 0.819 0.681 0.000
Hf1 0.000 0.000 0.500
Hf2 0.500 0.500 0.500
Fe1 0.124 0.624 0.500
Fe2 0.376 0.124 0.500
Fe3 0.624 0.876 0.500
Fe4 0.876 0.376 0.500

=====

Entry 9:
Entry from Alexandria: a geometry-optimized RbHfFeS3 structure (GGA-PBE).

Summary:
- Crystal system: monoclinic

a b c (Å): 8.872 3.692 9.436
angles (deg): 90.00 114.19 90.00
Fractional coordinates of all 12 atoms:
Rb1 0.224 0.250 0.251
Rb2 0.776 0.750 0.749
Hf1 0.318 0.750 0.838
Hf2 0.682 0.250 0.162
Fe1 0.069 0.250 0.597
Fe2 0.931 0.750 0.403
S1 0.129 0.250 0.859
S2 0.214 0.750 0.546
S3 0.470 0.750 0.143
S4 0.530 0.250 0.857
S5 0.786 0.250 0.454
S6 0.871 0.750 0.141

=====

Entry 10:
Entry from Alexandria: a geometry-optimized RbHfSc2Fe structure (GGA-PBE).

Summary:
- Energy of formation from the pure elements: 1.79 eV per atom
- Crystal system: tetragonal

a b c (Å): 5.003 5.003 4.426
angles (deg): 90.00 90.00 90.00
Fractional coordinates of all 5 atoms:
Rb1 0.000 0.000 0.000
Hf1 0.500 0.500 0.500
Sc1 0.000 0.500 0.000
Sc2 0.500 0.000 0.000
Fe1 0.000 0.000 0.500

=====

Entry 11:
Entry from Alexandria: a geometry-optimized RbHf2FeTc structure (GGA-PBE).

Summary:
- Energy of formation from the pure elements: 0.93 eV per atom
- Crystal system: tetragonal

a b c (Å): 4.948 4.948 4.635
angles (deg): 90.00 90.00 90.00
Fractional coordinates of all 5 atoms:
Rb1 0.000 0.000 0.000
Hf1 0.000 0.500 0.500
Hf2 0.500 0.000 0.500
Fe1 0.500 0.500 0.500
Tc1 0.500 0.500 0.000

=====

Entry 12:
Entry from Alexandria: a geometry-optimized HfFeRe structure (GGA-PBE).

Summary:
- Energy of formation from the pure elements: -0.11 eV per atom
- Crystal system: orthorhombic
- Relative energy among the computed polymorphs: 218 meV/atom

a b c (Å): 6.793 6.793 4.432
angles (deg): 90.00 90.00 152.41
Fractional coordinates of all 6 atoms:
Hf1 0.089 0.911 0.750
Hf2 0.911 0.089 0.250
Fe1 0.243 0.757 0.250
Fe2 0.757 0.243 0.750
Re1 0.407 0.593 0.750
Re2 0.593 0.407 0.250

=====

Entry 13:
Entry from Alexandria: a geometry-optimized Hf3FeRe structure (GGA-PBE).

Summary:
- Energy of formation from the pure elements: 1.19 eV per atom
- Crystal system: cubic
- Relative energy among the computed polymorphs: 580 meV/atom

a b c (Å): 4.964 4.964 4.964
angles (deg): 90.00 90.00 90.00
Fractional coordinates of all 5 atoms:
Hf1 0.000 0.000 0.500
Hf2 0.000 0.500 0.000
Hf3 0.500 0.000 0.000
Fe1 0.500 0.500 0.500
Re1 0.000 0.000 0.000

=====

Entry 14:
Entry from Alexandria: a geometry-optimized HfFe2Re2 structure (GGA-PBE).

Summary:
- Energy of formation from the pure elements: 0.11 eV per atom
- Crystal system: tetragonal
- Relative energy among the computed polymorphs: 78 meV/atom

a b c (Å): 7.365 7.365 2.675
angles (deg): 90.00 90.00 90.00
Fractional coordinates of all 10 atoms:
Hf1 0.000 0.000 0.000
Hf2 0.500 0.500 0.000
Fe1 0.170 0.330 0.500
Fe2 0.330 0.830 0.500
Fe3 0.670 0.170 0.500
Fe4 0.830 0.670 0.500
Re1 0.125 0.625 0.000
Re2 0.375 0.125 0.000
Re3 0.625 0.875 0.000
Re4 0.875 0.375 0.000

=====

Entry 15:
Entry from Alexandria: a geometry-optimized HfFeRe2 structure (GGA-PBE).

Summary:
- Energy of formation from the pure elements: 0.47 eV per atom
- Crystal system: tetragonal

a b c (Å): 5.745 5.745 5.745
angles (deg): 100.69 100.69 128.99
Fractional coordinates of all 8 atoms:
Hf1 0.000 0.000 0.000
Hf2 0.750 0.250 0.500
Fe1 0.250 0.750 0.500
Fe2 0.500 0.500 0.000
Re1 0.183 0.125 0.558
Re2 0.375 0.817 0.942
Re3 0.567 0.625 0.442
Re4 0.875 0.433 0.058

=====

Entry 16:
Entry from Alexandria: a geometry-optimized Hf2FeRe structure (GGA-PBE).

Summary:
- Energy of formation from the pure elements: 0.71 eV per atom
- Crystal system: orthorhombic

a b c (Å): 5.952 5.952 5.952
angles (deg): 152.65 131.05 56.98
Fractional coordinates of all 4 atoms:
Hf1 0.243 0.243 0.000
Hf2 0.757 0.757 0.000
Fe1 0.000 0.000 0.000
Re1 0.500 0.500 0.000

=====

Entry 17:
Entry from Alexandria: a geometry-optimized Hf6FeRe structure (GGA-PBE).

Summary:
- Energy of formation from the pure elements: 0.00 eV per atom
- Crystal system: monoclinic

a b c (Å): 5.451 5.451 5.769
angles (deg): 99.10 99.10 108.95
Fractional coordinates of all 8 atoms:
Hf1 0.154 0.672 0.728
Hf2 0.256 0.256 0.991
Hf3 0.328 0.846 0.272
Hf4 0.672 0.154 0.728
Hf5 0.744 0.744 0.009
Hf6 0.846 0.328 0.272
Fe1 0.000 0.000 0.500
Re1 0.500 0.500 0.500

=====

Entry 18:
Entry from Alexandria: a geometry-optimized Hf2FeRe structure (GGA-PBE).

Summary:
- Energy of formation from the pure elements: 0.44 eV per atom
- Crystal system: tetragonal

a b c (Å): 5.737 5.737 5.737
angles (deg): 103.81 103.81 121.50
Fractional coordinates of all 8 atoms:
Hf1 0.099 0.625 0.974
Hf2 0.375 0.349 0.474
Hf3 0.651 0.125 0.026
Hf4 0.875 0.901 0.526
Fe1 0.000 0.000 0.000
Fe2 0.750 0.250 0.500
Re1 0.250 0.750 0.500
Re2 0.500 0.500 0.000

=====

Entry 19:
Entry from Alexandria: a geometry-optimized Hf6Fe2Re structure (GGA-PBE).

Summary:
- Energy of formation from the pure elements: -0.06 eV per atom
- Crystal system: monoclinic

a b c (Å): 8.031 8.031 7.483
angles (deg): 117.30 117.30 23.66
Fractional coordinates of all 9 atoms:
Hf1 0.054 0.054 0.255
Hf2 0.285 0.285 0.382
Hf3 0.349 0.349 0.004
Hf4 0.651 0.651 0.996
Hf5 0.715 0.715 0.618
Hf6 0.946 0.946 0.745
Fe1 0.126 0.126 0.717
Fe2 0.874 0.874 0.283
Re1 0.500 0.500 0.500

=====

Entry 20:
Entry from Alexandria: a geometry-optimized HfFe2Re2 structure (GGA-PBE).

Summary:
- Energy of formation from the pure elements: 0.03 eV per atom
- Crystal system: tetragonal
- Relative energy among the computed polymorphs: 0 meV/atom

a b c (Å): 7.231 7.231 2.735
angles (deg): 90.00 90.00 90.00
Fractional coordinates of all 10 atoms:
Hf1 0.000 0.000 0.000
Hf2 0.500 0.500 0.000
Fe1 0.124 0.376 0.000
Fe2 0.376 0.876 0.000
Fe3 0.624 0.124 0.000
Fe4 0.876 0.624 0.000
Re1 0.170 0.670 0.500
Re2 0.330 0.170 0.500
Re3 0.670 0.830 0.500
Re4 0.830 0.330 0.500

=====

| no. | electronic total energy (eV/atom) |
| --- | --- |
| 1 | -8.47 |
| 2 | -4.25 |
| 3 | -2.83 |
| 4 | -5.44 |
| 5 | -2.27 |
| 6 | -3.85 |
| 7 | -5.63 |
| 8 | -4.64 |
| 9 | -6.51 |
| 10 | -4.62 |
| 11 | -7.01 |
| 12 | -10.40 |
| 13 | -8.97 |
| 14 | -10.25 |
| 15 | -10.36 |
| 16 | -9.50 |
| 17 | -10.07 |
| 18 | -9.76 |
| 19 | -9.96 |
| 20 | -10.33 |